1.
Computed, not measured: a relaxed structure of RbHIO2 at the GGA-PBE level of DFT.

Structure (POSCAR):
```
RbHIO2
1.0
4.810 0.000 0.000
0.000 4.810 0.000
0.000 0.000 3.622
Rb H I O
1 1 1 2
Cartesian
0.000 0.000 0.000
2.405 2.405 1.811
2.405 2.405 0.000
0.000 2.405 1.811
2.405 0.000 1.811
```

Summary:
**Raw total energy**: -2.722 eV/atom
**Crystal system**: tetragonal
**DOS at the Fermi energy**: 1.54 states/eV per atom
**Excess energy over the best structure of this formula in the dataset**: 0 kJ/mol of formula units
**Symmetry**: P4/mmm, No. 123

2.
Computed, not measured: a relaxed structure of RbBi2Au2 at the GGA-PBE level of DFT.

Structure (POSCAR):
```
RbBi2Au2
1.0
3.799 -3.613 0.000
3.799 3.613 0.000
-3.444 0.000 5.681
Rb Bi Au
1 2 2
Cartesian
0.000 0.000 0.000
0.576 0.000 4.064
3.579 0.000 1.617
2.077 2.186 2.840
2.077 -2.186 2.840
```

Summary:
**Raw total energy**: -3.268 eV/atom
**Crystal system**: monoclinic
**DOS at the Fermi energy**: 0.42 states/eV per atom
**DFT formation energy**: -4.86 kcal/mol of atoms
**Excess energy over the best structure of this formula in the dataset**: 0 kJ/mol of formula units
**Symmetry**: C2/m, No. 12

3.
Computed, not measured: a relaxed structure of DyPuTlSn at the GGA-PBE level of DFT.

Structure (POSCAR):
```
DyPuTlSn
1.0
0.000 3.796 3.796
3.796 0.000 3.796
3.796 3.796 0.000
Dy Pu Tl Sn
1 1 1 1
Cartesian
0.000 0.000 0.000
3.796 3.796 3.796
5.693 5.693 5.693
1.898 1.898 1.898
```

Summary:
**Raw total energy**: -6.625 eV/atom
**Crystal system**: cubic
**DOS at the Fermi energy**: 2.73 states/eV per atom
**DFT formation energy**: -6.89 kcal/mol of atoms
**Symmetry**: F-43m, No. 216

4.
Computed, not measured: a relaxed structure of CoMoIr2 at the GGA-PBE level of DFT.

Structure (POSCAR):
```
CoMoIr2
1.0
-2.673 2.673 5.584
2.673 -2.673 5.584
2.673 2.673 -5.584
Co Mo Ir
2 2 4
Cartesian
0.000 0.000 0.000
0.000 2.673 2.792
2.673 0.000 2.792
0.000 0.000 5.584
4.009 1.188 -1.396
1.188 1.336 1.396
-1.336 1.485 4.188
1.485 1.336 6.980
```

Summary:
**Raw total energy**: -8.039 eV/atom
**Crystal system**: tetragonal
**DOS at the Fermi energy**: 0.68 states/eV per atom
**DFT formation energy**: 20.20 kcal/mol of atoms
**Excess energy over the best structure of this formula in the dataset**: 409 kJ/mol of formula units
**Symmetry**: I-42d, No. 122

5.
Computed, not measured: a relaxed structure of Ca2In2Co at the GGA-PBE level of DFT.

Structure (POSCAR):
```
Ca2In2Co
1.0
7.110 0.000 0.000
0.000 7.110 0.000
0.000 0.000 5.086
Ca In Co
4 4 2
Cartesian
1.220 2.335 0.000
2.335 5.890 0.000
4.775 1.220 0.000
5.890 4.775 0.000
1.061 4.616 2.543
2.494 1.061 2.543
4.616 6.049 2.543
6.049 2.494 2.543
0.000 0.000 2.543
3.555 3.555 2.543
```

Summary:
**Raw total energy**: -3.355 eV/atom
**Crystal system**: tetragonal
**DOS at the Fermi energy**: 1.06 states/eV per atom
**DFT formation energy**: -0.88 kcal/mol of atoms
**Symmetry**: P4/mbm, No. 127

6.
Computed, not measured: a relaxed structure of RbNaInAu at the GGA-PBE level of DFT.

Structure (POSCAR):
```
RbNaInAu
1.0
4.281 -2.446 0.000
4.281 2.446 0.000
-2.857 0.000 6.611
Rb Na In Au
1 1 1 1
Cartesian
0.000 0.000 0.000
-0.012 0.000 3.894
2.845 0.000 2.519
5.686 0.000 2.649
```

Summary:
**Raw total energy**: -2.290 eV/atom
**Crystal system**: monoclinic
**DOS at the Fermi energy**: 0.52 states/eV per atom
**DFT formation energy**: -4.95 kcal/mol of atoms
**Symmetry**: Cm, No. 8

7.
Computed, not measured: a relaxed structure of SrIn3P at the GGA-PBE level of DFT.

Structure (POSCAR):
```
SrIn3P
1.0
5.336 0.000 0.000
0.000 5.336 0.000
0.000 0.000 5.336
Sr In P
1 3 1
Cartesian
0.000 0.000 0.000
0.000 2.668 2.668
2.668 0.000 2.668
2.668 2.668 0.000
2.668 2.668 2.668
```

Summary:
**Raw total energy**: -3.009 eV/atom
**Crystal system**: cubic
**DOS at the Fermi energy**: 0.65 states/eV per atom
**DFT formation energy**: 1.20 kcal/mol of atoms
**Excess energy over the best structure of this formula in the dataset**: 0 kJ/mol of formula units
**Symmetry**: Pm-3m, No. 221

8.
Computed, not measured: a relaxed structure of LaSn2S2 at the GGA-PBE level of DFT.

Structure (POSCAR):
```
LaSn2S2
1.0
-2.744 2.744 4.531
2.744 -2.744 4.531
2.744 2.744 -4.531
La Sn S
1 2 2
Cartesian
0.000 0.000 0.000
0.000 0.000 3.109
0.000 0.000 5.954
2.744 0.000 2.266
0.000 2.744 2.266
```

Summary:
**Raw total energy**: -4.724 eV/atom
**Crystal system**: tetragonal
**DOS at the Fermi energy**: 0.59 states/eV per atom
**Excess energy over the best structure of this formula in the dataset**: 0 kJ/mol of formula units
**ΔE_f (raw)**: -0.49 eV/atom
**Symmetry**: I4/mmm, No. 139